Computed, not measured: a relaxed Pa2Mn5Ge3 crystal at the GGA-PBE level of DFT.

a = 10.0857 Å, b = 11.1263 Å, c = 5.6869 Å
α = 90.00°, β = 90.00°, γ = 90.00°
Last column: nearest neighbours and their distance in Å.
Space group Ibam (No. 72)
One atom of each set of equivalent atoms:
Pa 0.2360 0.1286 0.0000 (multiplicity 8)  5 Mn 2.85-3.11, 6 Ge 2.97-3.12
Mn 0.0000 0.2543 0.2500 (multiplicity 8)  2 Mn 2.17
Mn 0.0000 0.5000 0.2500 (multiplicity 4)  4 Ge 2.43
Mn 0.1176 0.1522 0.5000 (multiplicity 8)  2 Mn 2.17, 1 Ge 2.42
Ge 0.0000 0.0000 0.2500 (multiplicity 4)  4 Mn 2.51
Ge 0.1451 0.3821 0.0000 (multiplicity 8)  5 Mn 2.42-2.49

Summary:
**E_form**: -0.249 eV per atom
**Excess energy over the best structure of this formula in the dataset**: 0.015 eV/atom
**M_tot**: 1.4 μB per formula unit


Computed, not measured: a relaxed Li2V4Te9 crystal at the GGA-PBE level of DFT.

a = 6.8793 Å, b = 6.8793 Å, c = 18.2507 Å
α = 90.00°, β = 90.00°, γ = 120.00°
Last column: nearest neighbours and their distance in Å.
Space group P-3c1 (No. 165)
One atom of each set of equivalent atoms:
Li 0.0000 0.0000 0.1673 (multiplicity 4)  6 Te 2.81-2.87, 1 Li 3.02
V 0.3333 0.6667 0.3312 (multiplicity 4)  6 Te 2.67-2.77
V 0.3333 0.6667 0.4963 (multiplicity 4)  6 Te 2.70-2.75, 1 V 3.01
Te 0.0000 0.3550 0.2500 (multiplicity 6)  2 V 2.67, 2 Li 2.87
Te 0.0029 0.3438 0.5829 (multiplicity 12)  3 V 2.70-2.77, 1 Li 2.81

Summary:
**E_form (uncorrected)**: -8.550 kcal/mol of atoms
**M_tot**: 4.5 μB per formula unit


Computed, not measured: a relaxed CoCu2W crystal at the GGA-PBE level of DFT.

a = 2.6363 Å, b = 3.6117 Å, c = 5.3471 Å
α = 90.00°, β = 90.08°, γ = 90.00°
Last column: nearest neighbours and their distance in Å.
Space group Pm (No. 6)
One atom of each set of equivalent atoms:
Co 0.0000 0.0000 0.0000 (multiplicity 1)  4 W 2.54, 6 Cu 2.61-2.74, 2 Co 2.64
Cu 0.0022 0.0000 0.5125 (multiplicity 1)  6 Cu 2.54-2.64, 2 Co 2.61-2.74, 4 W 2.71
Cu 0.5017 0.5000 0.7369 (multiplicity 1)  6 Cu 2.54-2.64, 2 W 2.62-2.73, 4 Co 2.64
W 0.5019 0.5000 0.2265 (multiplicity 1)  4 Co 2.54, 6 Cu 2.62-2.73, 2 W 2.64

Summary:
**E_form**: 0.216 eV per atom
**Excess energy over the best structure of this formula in the dataset**: 0.030 eV/atom
**M_tot**: 0.5 μB per formula unit


Computed, not measured: a relaxed PmEr2ThS4 crystal at the GGA-PBE level of DFT.

a = 6.7937 Å, b = 3.9048 Å, c = 6.9541 Å
α = 90.00°, β = 108.92°, γ = 90.00°
Last column: nearest neighbours and their distance in Å.
Space group P2/m (No. 10)
One atom of each set of equivalent atoms:
Pm 0.0000 0.0000 0.0000 (multiplicity 1)  6 S 2.86
Er 0.0000 0.5000 0.5000 (multiplicity 1)  6 S 2.72-2.73
Er 0.5000 0.0000 0.5000 (multiplicity 1)  6 S 2.73
Th 0.5000 0.5000 0.0000 (multiplicity 1)  6 S 2.87
S 0.2432 0.0000 0.7322 (multiplicity 2)  3 Er 2.72-2.73, 1 Pm 2.86, 2 Th 2.87
S 0.2552 0.5000 0.2671 (multiplicity 2)  3 Er 2.73, 2 Pm 2.86, 1 Th 2.87

Summary:
**E_form (uncorrected)**: -44.733 kcal/mol of atoms
**M_tot**: 0.0 μB per formula unit


Computed, not measured: a relaxed Cs2K3Rb9 crystal at the GGA-PBE level of DFT.

a = 23.2469 Å, b = 13.8371 Å, c = 16.2096 Å
α = 90.00°, β = 90.00°, γ = 90.00°
Last column: nearest neighbours and their distance in Å.
Space group Cmcm (No. 63)
One atom of each set of equivalent atoms:
Cs 0.1519 0.1591 0.2500 (multiplicity 8)  11 Rb 5.27-5.88, 2 K 5.81
K 0.0000 0.0000 0.0000 (multiplicity 4)  8 Rb 4.55-4.90
K 0.1769 0.5000 0.0000 (multiplicity 8)  8 Rb 4.40-4.79
Rb 0.0000 0.1502 0.7500 (multiplicity 4)  2 K 4.55, 6 Rb 4.81-4.99
Rb 0.0000 0.3299 0.0392 (multiplicity 8)  3 K 4.61-4.78, 5 Rb 4.88-5.09
Rb 0.1059 0.4637 0.7500 (multiplicity 8)  2 K 4.40, 1 Rb 4.93
Rb 0.1740 0.1701 0.5898 (multiplicity 16)  3 K 4.44-4.90, 1 Rb 4.81

Summary:
**E_form**: 0.022 eV per atom
**M_tot**: 0.0 μB per formula unit


Computed, not measured: a relaxed NdPaAu4 crystal at the GGA-PBE level of DFT.

a = 5.3943 Å, b = 9.2950 Å, c = 5.3990 Å
α = 90.00°, β = 90.00°, γ = 90.00°
Last column: nearest neighbours and their distance in Å.
Space group Cmmm (No. 65)
One atom of each set of equivalent atoms:
Nd 0.0000 0.0000 0.0000 (multiplicity 2)  10 Au 3.10-3.12
Pa 0.0000 0.5000 0.5000 (multiplicity 2)  10 Au 3.08-3.12
Au 0.0000 0.1685 0.5000 (multiplicity 4)  3 Pa 3.08-3.12, 5 Au 3.09-3.13, 2 Nd 3.12
Au 0.0000 0.3346 0.0000 (multiplicity 4)  5 Au 3.07-3.12, 3 Nd 3.10-3.11, 2 Pa 3.11

Summary:
**E_form**: -0.574 eV per atom
**M_tot**: 0.7 μB per formula unit


Computed, not measured: a relaxed Pa8OsRu5 crystal at the GGA-PBE level of DFT.

a = 8.5254 Å, b = 8.5254 Å, c = 8.4715 Å
α = 90.00°, β = 90.00°, γ = 90.00°
Last column: nearest neighbours and their distance in Å.
Space group I-4 (No. 82)
One atom of each set of equivalent atoms:
Pa 0.0546 0.1933 0.1828 (multiplicity 8)  3 Ru 2.70-2.72
Pa 0.0562 0.3075 0.5704 (multiplicity 8)  2 Ru 2.70-2.71, 1 Os 2.73
Os 0.0000 0.0000 0.5000 (multiplicity 2)  4 Pa 2.73
Ru 0.0000 0.5000 0.2500 (multiplicity 2)  4 Pa 2.72
Ru 0.1262 0.2498 0.8763 (multiplicity 8)  4 Pa 2.70-2.71

Summary:
**E_form**: -0.392 eV per atom
**M_tot**: 0.0 μB per formula unit


Computed, not measured: a relaxed Mg2RuPtF crystal at the GGA-PBE level of DFT.

a = 3.9416 Å, b = 3.9416 Å, c = 5.0723 Å
α = 90.00°, β = 90.00°, γ = 90.00°
Last column: nearest neighbours and their distance in Å.
Space group P4/mmm (No. 123)
One atom of each set of equivalent atoms:
Mg 0.0000 0.5000 0.0000 (multiplicity 2)  2 F 1.97
Ru 0.0000 0.0000 0.5000 (multiplicity 1)  4 Pt 2.79
Pt 0.5000 0.5000 0.5000 (multiplicity 1)  2 F 2.54, 4 Ru 2.79
F 0.5000 0.5000 0.0000 (multiplicity 1)  4 Mg 1.97

Summary:
**E_form (uncorrected)**: -9.208 kcal/mol of atoms
**M_tot**: 1.8 μB per formula unit


Computed, not measured: a relaxed La2ZnGa3Au4 crystal at the GGA-PBE level of DFT.

a = 4.5077 Å, b = 4.5077 Å, c = 10.4838 Å
α = 90.00°, β = 90.00°, γ = 90.00°
Last column: nearest neighbours and their distance in Å.
Space group P-4m2 (No. 115)
One atom of each set of equivalent atoms:
La 0.0000 0.5000 0.2491 (multiplicity 2)  6 Ga 3.43-3.45, 8 Au 3.43-3.46, 2 Zn 3.45
Zn 0.5000 0.5000 0.0000 (multiplicity 1)  4 Au 2.63
Ga 0.0000 0.0000 0.0000 (multiplicity 1)  4 Au 2.63
Ga 0.0000 0.5000 0.6306 (multiplicity 2)  5 Au 2.52-2.64
Au 0.0000 0.0000 0.5000 (multiplicity 1)  4 Ga 2.64
Au 0.0000 0.5000 0.8712 (multiplicity 2)  3 Ga 2.52-2.63, 2 Zn 2.63
Au 0.5000 0.5000 0.5000 (multiplicity 1)  4 Ga 2.64

Summary:
**E_form**: -0.664 eV per atom
**M_tot**: 0.0 μB per formula unit


Computed, not measured: a relaxed CePrAsP crystal at the GGA-PBE level of DFT.

a = 4.2131 Å, b = 4.2131 Å, c = 5.9488 Å
α = 90.00°, β = 90.00°, γ = 90.00°
Last column: nearest neighbours and their distance in Å.
Space group P4/mmm (No. 123)
One atom of each set of equivalent atoms:
Ce 0.0000 0.0000 0.0000 (multiplicity 1)  2 As 2.97, 4 P 2.98
Pr 0.5000 0.5000 0.5000 (multiplicity 1)  2 P 2.97, 4 As 2.98
As 0.0000 0.0000 0.5000 (multiplicity 1)  2 Ce 2.97, 4 Pr 2.98
P 0.5000 0.5000 0.0000 (multiplicity 1)  2 Pr 2.97, 4 Ce 2.98

Summary:
**E_form**: -1.467 eV per atom
**M_tot**: 0.7 μB per formula unit


Computed, not measured: a relaxed SrSn2Ru2 crystal at the GGA-PBE level of DFT.

a = 7.9192 Å, b = 7.9192 Å, c = 3.1533 Å
α = 90.00°, β = 90.00°, γ = 90.00°
Last column: nearest neighbours and their distance in Å.
Space group P4/mbm (No. 127)
One atom of each set of equivalent atoms:
Sr 0.0000 0.0000 0.0000 (multiplicity 2)  4 Ru 3.06, 2 Sr 3.15, 8 Sn 3.40
Sn 0.1506 0.3494 0.5000 (multiplicity 4)  6 Ru 2.79-2.82
Ru 0.1405 0.6405 0.0000 (multiplicity 4)  6 Sn 2.79-2.82, 2 Sr 3.06

Summary:
**E_form**: -0.123 eV per atom
**M_tot**: 0.0 μB per formula unit


Computed, not measured: a relaxed Ba2Te5As crystal at the GGA-PBE level of DFT.

a = 7.3010 Å, b = 7.3057 Å, c = 7.3539 Å
α = 111.49°, β = 111.66°, γ = 104.98°
Last column: nearest neighbours and their distance in Å.
Space group P1 (No. 1)
One atom of each set of equivalent atoms:
Ba 0.0000 0.0000 0.0000 (multiplicity 1)  8 Te 3.63-3.73
Ba 0.4879 0.5159 0.0041 (multiplicity 1)  8 Te 3.62-3.72
Te 0.3544 0.8748 0.5441 (multiplicity 1)  3 Te 2.87-3.19, 1 As 2.93
Te 0.5132 0.5009 0.5041 (multiplicity 1)  1 As 2.83
Te 0.5137 0.0271 0.0184 (multiplicity 1)  1 Te 2.87
Te 0.9782 0.4924 0.0056 (multiplicity 1)  1 As 2.69
Te 0.9872 0.0325 0.5033 (multiplicity 1)  1 As 2.87, 1 Te 3.14
As 0.6899 0.2098 0.5570 (multiplicity 1)  4 Te 2.69-2.93

Summary:
**E_form (uncorrected)**: -19.097 kcal/mol of atoms
**M_tot**: 0.0 μB per formula unit